{
  "formula": "KSiW2",
  "functional": "PBE",
  "state": "relaxed",
  "vol_a3_per_cell": 75,
  "spacegroup": "Cmm2",
  "lattice": [[1.636, -2.293, 0.000], [1.636, 2.293, 0.000], [0.000, 0.000, 10.056]],
  "species": ["K", "Si", "W", "W"],
  "fractional_positions": [[0.000, 0.000, 0.000], [0.500, 0.500, 0.724], [0.000, 0.000, 0.525], [0.500, 0.500, 0.311]]
}

=====

{
  "formula": "KSiW",
  "functional": "PBE",
  "state": "relaxed",
  "vol_a3_per_cell": 59,
  "spacegroup": "P3m1",
  "e_above_lowest_polymorph_mev_per_atom": 130,
  "lattice": [[2.939, 0.000, 0.000], [-1.469, 2.545, 0.000], [0.000, 0.000, 7.948]],
  "species": ["K", "Si", "W"],
  "fractional_positions": [[0.000, 0.000, 0.000], [0.333, 0.667, 0.358], [0.667, 0.333, 0.610]]
}

=====

{
  "formula": "KYSi",
  "functional": "PBE",
  "state": "relaxed",
  "vol_a3_per_cell": 358,
  "spacegroup": "Pnma",
  "e_above_lowest_polymorph_mev_per_atom": 324,
  "lattice": [[7.569, 0.000, 0.000], [0.000, 4.768, 0.000], [0.000, 0.000, 9.923]],
  "species": ["K", "K", "K", "K", "Y", "Y", "Y", "Y", "Si", "Si", "Si", "Si"],
  "fractional_positions": [[0.125, 0.250, 0.057], [0.375, 0.750, 0.557], [0.625, 0.250, 0.443], [0.875, 0.750, 0.943], [0.043, 0.250, 0.654], [0.457, 0.750, 0.154], [0.543, 0.250, 0.846], [0.957, 0.750, 0.346], [0.174, 0.250, 0.378], [0.326, 0.750, 0.878], [0.674, 0.250, 0.122], [0.826, 0.750, 0.622]]
}

=====

| no. | D(E_F) (states/eV per cell) | electronic total energy (eV per cell) |
| --- | --- | --- |
| 1 | 2.56 | -30.06 |
| 2 | 1.58 | -17.16 |
| 3 | 0.00 | -52.01 |